{"formula": "NdSmMnIn", "functional": "PBE", "state": "relaxed", "rho_g_cm3": 7.16, "e_form_ev_per_atom": -0.063, "dft_energy_ev_per_fu": -21.65, "lattice_angstrom": [[7.5530, 0.0000, 0.0000], [0.0000, 7.5530, 0.0000], [0.0000, 0.0000, 7.5530]], "species": ["Nd", "Nd", "Nd", "Nd", "Sm", "Sm", "Sm", "Sm", "Mn", "Mn", "Mn", "Mn", "In", "In", "In", "In"], "fractional_positions": [[0.0000, 0.0000, 0.0000], [0.0000, 0.5000, 0.5000], [0.5000, 0.0000, 0.5000], [0.5000, 0.5000, 0.0000], [0.0000, 0.0000, 0.5000], [0.0000, 0.5000, 0.0000], [0.5000, 0.0000, 0.0000], [0.5000, 0.5000, 0.5000], [0.2500, 0.2500, 0.7500], [0.2500, 0.7500, 0.2500], [0.7500, 0.2500, 0.2500], [0.7500, 0.7500, 0.7500], [0.2500, 0.2500, 0.2500], [0.2500, 0.7500, 0.7500], [0.7500, 0.2500, 0.7500], [0.7500, 0.7500, 0.2500]]}